Entry from Alexandria: an optimized crystal structure of AlInS2 (GGA-PBE).

For the uncorrected formation energy, the calculation gives -806 meV/atom.

Lattice parameters (Å, degrees): 5.911 6.274 7.160 104.10 102.11 117.82
Space group P-1 (No. 2)
Asymmetric unit:
Al: 0.246 0.483 0.000 [2 per cell]
In: 0.307 0.817 0.624 [2 per cell]
S: 0.168 0.810 0.000 [2 per cell]
S: 0.364 0.364 0.730 [2 per cell]

---

Entry from Alexandria: an optimized crystal structure of ScTaW (GGA-PBE).

The formation energy is 0.15 eV per atom. The calculation puts the energy above the most stable polymorph in this dataset at 0.0042 eV/atom.

Lattice parameters (Å, degrees): 3.357 3.357 10.197 90.00 90.00 90.00
Space group I4mm (No. 107)
Asymmetric unit:
Sc: 0.000 0.000 0.000 [2 per cell]
Ta: 0.000 0.000 0.697 [2 per cell]
W: 0.000 0.000 0.321 [2 per cell]

---

Entry from Alexandria: an optimized crystal structure of CeOsW (GGA-PBE).

The formation energy is 0.42 eV per atom. The calculation puts the energy above the most stable polymorph in this dataset at 0.3402 eV/atom.

Lattice parameters (Å, degrees): 5.114 9.116 19.595 90.00 90.00 90.00
Space group Fddd (No. 70, origin choice 2)
Asymmetric unit:
Ce: 0.125 0.299 0.125 [16 per cell]
Os: 0.125 0.125 0.559 [16 per cell]
W: 0.125 0.125 0.000 [16 per cell]

---

Entry from Alexandria: an optimized crystal structure of Mn2IrRh (GGA-PBE).

The formation energy is 0.34 eV per atom.

Lattice parameters (Å, degrees): 5.908 5.908 5.908 90.00 90.00 90.00
Space group Fm-3m (No. 225)
Asymmetric unit:
Mn: 0.250 0.250 0.250 [8 per cell]
Ir: 0.000 0.000 0.000 [4 per cell]
Rh: 0.000 0.000 0.500 [4 per cell]

---

Entry from Alexandria: an optimized crystal structure of Pm12Pb3C5 (GGA-PBE).

The formation energy is -0.15 eV per atom.

Lattice parameters (Å, degrees): 16.462 16.462 16.462 90.00 90.00 90.00
Space group Ia-3d (No. 230)
Asymmetric unit:
Pm: 0.035 0.052 0.648 [96 per cell]
Pb: 0.000 0.250 0.125 [24 per cell]
C: 0.000 0.000 0.000 [16 per cell]
C: 0.000 0.250 0.375 [24 per cell]

---

Entry from Alexandria: an optimized crystal structure of SrHg12 (GGA-PBE).

The formation energy is 0.11 eV per atom.

Lattice parameters (Å, degrees): 12.794 12.794 12.794 90.00 90.00 90.00
Space group Fm-3m (No. 225)
Asymmetric unit:
Sr: 0.000 0.000 0.000 [4 per cell]
Hg: 0.000 0.170 0.330 [48 per cell]

---

Entry from Alexandria: an optimized crystal structure of FeTe2Rh (GGA-PBE).

For the uncorrected formation energy, the calculation gives 210 meV/atom.

Lattice parameters (Å, degrees): 3.335 3.335 6.625 90.00 90.00 90.00
Space group P4/mmm (No. 123)
Asymmetric unit:
Fe: 0.000 0.000 0.000 [1 per cell]
Te: 0.500 0.500 0.245 [2 per cell]
Rh: 0.000 0.000 0.500 [1 per cell]

---

Entry from Alexandria: an optimized crystal structure of AlV6Ga (GGA-PBE).

The formation energy is -0.17 eV per atom. The calculation puts the energy above the most stable polymorph in this dataset at 0.0000 eV/atom.

Lattice parameters (Å, degrees): 4.311 5.783 8.840 90.00 90.00 90.00
Space group Amm2 (No. 38)
Asymmetric unit:
Al: 0.000 0.000 0.000 [2 per cell]
V: 0.000 0.000 0.522 [2 per cell]
V: 0.000 0.249 0.260 [4 per cell]
V: 0.500 0.000 0.787 [2 per cell]
V: 0.500 0.249 0.047 [4 per cell]
Ga: 0.500 0.000 0.307 [2 per cell]

---

Entry from Alexandria: an optimized crystal structure of UPaRh2 (GGA-PBE).

The formation energy is -0.43 eV per atom. The calculation puts the energy above the most stable polymorph in this dataset at 0.0321 eV/atom.

Lattice parameters (Å, degrees): 3.408 3.408 6.891 90.00 90.00 90.00
Space group P4/mmm (No. 123)
Asymmetric unit:
U: 0.000 0.000 0.000 [1 per cell]
Pa: 0.000 0.000 0.500 [1 per cell]
Rh: 0.500 0.500 0.244 [2 per cell]

---

Entry from Alexandria: an optimized crystal structure of Ca2Zn4AgAu3 (GGA-PBE).

The formation energy is -0.43 eV per atom.

Lattice parameters (Å, degrees): 4.409 4.409 10.730 90.00 90.00 90.00
Space group P-4m2 (No. 115)
Asymmetric unit:
Ca: 0.000 0.500 0.249 [2 per cell]
Zn: 0.000 0.000 0.000 [1 per cell]
Zn: 0.000 0.500 0.631 [2 per cell]
Zn: 0.500 0.500 0.000 [1 per cell]
Ag: 0.000 0.000 0.500 [1 per cell]
Au: 0.000 0.500 0.866 [2 per cell]
Au: 0.500 0.500 0.500 [1 per cell]

---

Entry from Alexandria: an optimized crystal structure of LaH8Pd4Pt (GGA-PBE).

Lattice parameters (Å, degrees): 5.8309 5.8309 14.4393 90.00 90.00 120.00
Space group R3m (No. 160, hexagonal axes)
Asymmetric unit:
La: 0.0000 0.0000 0.0000 [3 per cell]
H: 0.0000 0.0000 0.1583 [3 per cell]
H: 0.0000 0.0000 0.6130 [3 per cell]
H: 0.0277 0.5139 0.1210 [9 per cell]
H: 0.2173 0.4346 0.9499 [9 per cell]
Pd: 0.0000 0.0000 0.7474 [3 per cell]
Pd: 0.1698 0.3397 0.2066 [9 per cell]
Pt: 0.0000 0.0000 0.3766 [3 per cell]

---

How do the records compare in E_tot? In the order shown, they have -35.92 -61.39 -461.80 -132.69 -938.11 -15.47 -21.26 -125.67 -37.19 -26.06 -183.96 eV/cell.